# 1
The following is a DFT calculation (PBE-GGA) of a relaxed PmDyAu6 crystal.

Lattice parameters (Å, degrees): 8.866 4.704 8.955 90.00 115.89 90.00
Space group C2/m (No. 12)
Symmetry-distinct sites (fractional):
Pm: 0.000 0.000 0.000 [2 per cell]
Dy: 0.000 0.500 0.500 [2 per cell]
Au: 0.120 0.500 0.865 [4 per cell]
Au: 0.129 0.000 0.380 [4 per cell]
Au: 0.246 0.000 0.750 [4 per cell]

Calculated values
**Magnetization**: 0.0 μB per formula unit
**E**: -4.283 eV/atom

# 2
The following is a DFT calculation (PBE-GGA) of a relaxed Pm2DyAu4 crystal.

Lattice parameters (Å, degrees): 5.263 5.263 13.042 90.00 90.00 90.00
Space group I4/mmm (No. 139)
Symmetry-distinct sites (fractional):
Pm: 0.000 0.000 0.222 [4 per cell]
Dy: 0.000 0.000 0.500 [2 per cell]
Au: 0.000 0.500 0.116 [8 per cell]

Calculated values
**Magnetization**: 0.0 μB per formula unit
**Energy above the most stable polymorph in this dataset**: 0.0000 eV/atom

# 3
The following is a DFT calculation (PBE-GGA) of a relaxed PmDy2Au crystal.

Lattice parameters (Å, degrees): 4.956 12.040 7.792 90.00 90.00 90.00
Space group Cmcm (No. 63)
Symmetry-distinct sites (fractional):
Pm: 0.000 0.047 0.250 [4 per cell]
Dy: 0.000 0.355 0.035 [8 per cell]
Au: 0.000 0.204 0.750 [4 per cell]

Calculated values
**Magnetization**: 0.0 μB per formula unit
**Energy above the most stable polymorph in this dataset**: 0.0232 eV/atom

# 4
The following is a DFT calculation (PBE-GGA) of a relaxed Pm2DyAu6 crystal.

Lattice parameters (Å, degrees): 6.6714 6.6714 5.4992 90.00 90.00 120.00
Space group P-3m1 (No. 164)
Symmetry-distinct sites (fractional):
Pm: 0.3333 0.6667 0.1644 [2 per cell]
Dy: 0.0000 0.0000 0.0000 [1 per cell]
Au: 0.1892 0.3785 0.6763 [6 per cell]

Calculated values
**Magnetization**: 0.0 μB per formula unit
**E**: -4.383 eV/atom